(1)
Entry from Alexandria via LeMat-Bulk: a geometry-optimized RbBa2RuCl structure (PBE-GGA).

- formation energy without anion corrections (eV per atom) = 0.068
- E (eV/cell) = -15.593
- volume (A^3/atom) = 42.232

Lattice parameters (Å, degrees): 5.6857 5.6857 6.5319 90.00 90.00 90.00
Fractional positions:
Rb (0.0000, 0.0000, 0.0000)
Ba (0.0000, 0.5000, 0.5000)
Ba (0.5000, 0.0000, 0.5000)
Ru (0.5000, 0.5000, 0.5000)
Cl (0.5000, 0.5000, 0.0000)


(2)
Entry from Alexandria via LeMat-Bulk: a geometry-optimized Pr4Ho3Tm5 structure (PBE-GGA).

- E (eV/cell) = -52.427
- energy of formation (eV per formula unit) = 2.781
- volume (A^3/atom) = 33.254

Lattice parameters (Å, degrees): 8.5697 8.5697 9.4284 115.57 115.57 40.47
Fractional positions:
Pr (0.0873, 0.0873, 0.4508)
Pr (0.2168, 0.2168, 0.8855)
Pr (0.7832, 0.7832, 0.1145)
Pr (0.9127, 0.9127, 0.5492)
Ho (0.2169, 0.2169, 0.2439)
Ho (0.5000, 0.5000, 0.0000)
Ho (0.7831, 0.7831, 0.7561)
Tm (0.0000, 0.0000, 0.0000)
Tm (0.3311, 0.3311, 0.6243)
Tm (0.4322, 0.4322, 0.2960)
Tm (0.5678, 0.5678, 0.7040)
Tm (0.6689, 0.6689, 0.3757)


(3)
Entry from Alexandria via LeMat-Bulk: a geometry-optimized DyAgPd structure (PBE-GGA).

- E above lowest polymorph (meV per atom) = 17
- E (eV/cell) = -28.876
- energy of formation (eV per formula unit) = -1.792
- volume (A^3/atom) = 20.363

Lattice parameters (Å, degrees): 7.4994 7.4994 4.5961 90.00 90.00 151.79
Fractional positions:
Dy (0.0914, 0.9086, 0.7500)
Dy (0.9086, 0.0914, 0.2500)
Ag (0.2344, 0.7656, 0.2500)
Ag (0.7656, 0.2344, 0.7500)
Pd (0.4289, 0.5711, 0.7500)
Pd (0.5711, 0.4289, 0.2500)


(4)
Entry from Alexandria via LeMat-Bulk: a geometry-optimized MnRe2 structure (PBE-GGA).

- E (eV/cell) = -32.357
- energy of formation (eV per formula unit) = 1.709
- volume (A^3/atom) = 15.466

Lattice parameters (Å, degrees): 4.0334 4.0334 4.0334 60.00 60.00 60.00
Fractional positions:
Mn (0.0000, 0.0000, 0.0000)
Re (0.2500, 0.2500, 0.2500)
Re (0.7500, 0.7500, 0.7500)


(5)
Entry from Alexandria via LeMat-Bulk: a geometry-optimized LaHfP2 structure (PBE-GGA).

- E above lowest polymorph (meV per atom) = 0
- E (eV/cell) = -31.391
- energy of formation (eV per formula unit) = -5.691
- volume (A^3/atom) = 21.972

Lattice parameters (Å, degrees): 6.9817 6.9817 6.9817 32.61 32.61 32.61
Fractional positions:
La (0.0000, 0.0000, 0.0000)
Hf (0.5000, 0.5000, 0.5000)
P (0.2386, 0.2386, 0.2386)
P (0.7614, 0.7614, 0.7614)


(6)
Entry from Alexandria via LeMat-Bulk: a geometry-optimized Pr2H2SeI structure (PBE-GGA).

- E (eV/cell) = -28.152
- volume (A^3/atom) = 21.401

Lattice parameters (Å, degrees): 4.0572 4.0572 9.0078 90.00 90.00 120.00
Fractional positions:
Pr (0.3333, 0.6667, 0.2101)
Pr (0.6667, 0.3333, 0.7899)
H (0.3333, 0.6667, 0.7563)
H (0.6667, 0.3333, 0.2437)
Se (0.0000, 0.0000, 0.0000)
I (0.0000, 0.0000, 0.5000)


(7)
Entry from Alexandria via LeMat-Bulk: a geometry-optimized Rb2Tb2TeO6 structure (PBE-GGA).

- formation energy without anion corrections (eV per atom) = -2.247
- E (eV/cell) = -68.798
- volume (A^3/atom) = 19.020

Lattice parameters (Å, degrees): 6.0031 6.0031 6.9617 97.94 97.94 119.83
Fractional positions:
Rb (0.1652, 0.8348, 0.0000)
Rb (0.8348, 0.1652, 0.0000)
Tb (0.3347, 0.6653, 0.5000)
Tb (0.6653, 0.3347, 0.5000)
Te (0.0000, 0.0000, 0.5000)
O (0.0489, 0.3781, 0.6672)
O (0.2646, 0.2646, 0.3326)
O (0.3781, 0.0489, 0.6672)
O (0.6219, 0.9511, 0.3328)
O (0.7354, 0.7354, 0.6674)
O (0.9511, 0.6219, 0.3328)


(8)
Entry from Alexandria via LeMat-Bulk: a geometry-optimized CdBr2F structure (PBE-GGA).

- formation energy without anion corrections (eV per atom) = -0.524
- E above lowest polymorph (meV per atom) = 84
- E (eV/cell) = -16.458
- volume (A^3/atom) = 30.125

Lattice parameters (Å, degrees): 7.0915 7.0915 7.0915 122.71 122.71 85.37
Fractional positions:
Cd (0.0000, 0.0000, 0.0000)
Cd (0.7500, 0.2500, 0.5000)
Br (0.1071, 0.6250, 0.9821)
Br (0.3750, 0.3571, 0.4821)
Br (0.6429, 0.1250, 0.0179)
Br (0.8750, 0.8929, 0.5179)
F (0.2500, 0.7500, 0.5000)
F (0.5000, 0.5000, 0.0000)